{"formula": "ZrTcMoF", "functional": "PBE+U", "state": "relaxed", "lattice": [[5.452, -2.144, 0.000], [5.452, 2.144, 0.000], [-0.952, 0.000, 3.087]], "species": ["Zr", "Tc", "Mo", "F"], "frac_coords": [[0.000, 0.000, 0.000], [0.792, 0.792, 0.291], [0.276, 0.276, 0.775], [0.536, 0.536, 0.035]], "density_g_cm3": 7.0, "crystal_system": "monoclinic", "spacegroup": "Cm (8)", "total_energy_ev_per_atom": -7.24, "polymorph_energy_mev_per_atom": 273}